# 1
This record from the Alexandria database describes a geometry-optimized Y2SiP structure. The functional is PBE-GGA.

energy above the lowest structure with this stoichiometry = 0.466 eV per atom
ΔE_f (raw) = -0.7597 eV per atom

abc: 7.0316 7.4954 3.4811
angles: 90.00 103.67 90.00
Space group C2/m (No. 12)
Unique sites:
Y (0.2500, 0.2500, 0.0000) (multiplicity 4)
Si (0.0000, 0.0000, 0.5000) (multiplicity 2)
P (0.0000, 0.5000, 0.5000) (multiplicity 2)



# 2
This record from the Alexandria database describes a geometry-optimized Er2In9Sn structure. The functional is PBE-GGA.

energy relative to the elements = -0.2071 eV/atom

abc: 4.6239 4.6239 14.3604
angles: 90.00 90.00 90.00
Space group P4/mmm (No. 123)
Unique sites:
Er (0.0000, 0.0000, 0.1601) (multiplicity 2)
In (0.0000, 0.5000, 0.0000) (multiplicity 2)
In (0.0000, 0.5000, 0.3284) (multiplicity 4)
In (0.5000, 0.5000, 0.1627) (multiplicity 2)
In (0.5000, 0.5000, 0.5000) (multiplicity 1)
Sn (0.0000, 0.0000, 0.5000) (multiplicity 1)



# 3
This record from the Alexandria database describes a geometry-optimized La2YNiHg structure. The functional is PBE-GGA.

energy relative to the elements = -0.1690 eV/atom

abc: 5.2912 5.2912 5.4750
angles: 90.00 90.00 90.00
Space group P4/mmm (No. 123)
Unique sites:
La (0.0000, 0.5000, 0.0000) (multiplicity 2)
Y (0.0000, 0.0000, 0.5000) (multiplicity 1)
Ni (0.0000, 0.0000, 0.0000) (multiplicity 1)
Hg (0.5000, 0.5000, 0.5000) (multiplicity 1)



# 4
This record from the Alexandria database describes a geometry-optimized LiAgP2S6 structure. The functional is PBE-GGA.

ΔE_f (raw) = -0.3135 eV per atom

abc: 13.0720 12.8222 6.0150
angles: 90.00 114.33 90.00
Space group C2/c (No. 15)
Unique sites:
Li (0.0000, 0.1997, 0.2500) (multiplicity 4)
Ag (0.0000, 0.3137, 0.7500) (multiplicity 4)
P (0.2271, 0.4212, 0.2825) (multiplicity 8)
S (0.1094, 0.0780, 0.6005) (multiplicity 8)
S (0.1497, 0.2827, 0.1445) (multiplicity 8)
S (0.1507, 0.4510, 0.5356) (multiplicity 8)



# 5
This record from the Alexandria database describes a geometry-optimized Tl3GeI structure. The functional is PBE-GGA.

energy above the lowest structure with this stoichiometry = 0.000 eV per atom
ΔE_f (raw) = -0.0047 eV per atom

abc: 5.7797 5.7797 5.7797
angles: 90.00 90.00 90.00
Space group Pm-3m (No. 221)
Unique sites:
Tl (0.0000, 0.0000, 0.5000) (multiplicity 3)
Ge (0.0000, 0.0000, 0.0000) (multiplicity 1)
I (0.5000, 0.5000, 0.5000) (multiplicity 1)



# 6
This record from the Alexandria database describes a geometry-optimized CeSmLu structure. The functional is PBE-GGA.

energy relative to the elements = 0.0793 eV/atom
energy above the lowest structure with this stoichiometry = 0.008 eV per atom

abc: 3.5248 3.5248 14.8310
angles: 90.00 90.00 90.00
Space group I4mm (No. 107)
Unique sites:
Ce (0.0000, 0.0000, 0.0000) (multiplicity 2)
Sm (0.0000, 0.0000, 0.6654) (multiplicity 2)
Lu (0.0000, 0.0000, 0.3404) (multiplicity 2)



# 7
This record from the Alexandria database describes a geometry-optimized NaPr5In6 structure. The functional is PBE-GGA.

energy relative to the elements = -0.4283 eV/atom

abc: 5.4557 16.4428 7.8265
angles: 90.00 90.00 90.00
Space group Cmmm (No. 65)
Unique sites:
Na (0.0000, 0.0000, 0.0000) (multiplicity 2)
Pr (0.0000, 0.0000, 0.5000) (multiplicity 2)
Pr (0.0000, 0.3322, 0.5000) (multiplicity 4)
Pr (0.0000, 0.3391, 0.0000) (multiplicity 4)
In (0.0000, 0.1642, 0.2425) (multiplicity 8)
In (0.0000, 0.5000, 0.2470) (multiplicity 4)



# 8
This record from the Alexandria database describes a geometry-optimized KYTe structure. The functional is PBE-GGA.

energy above the lowest structure with this stoichiometry = 0.000 eV per atom
ΔE_f (raw) = -0.7901 eV per atom

abc: 4.7861 4.7861 9.3178
angles: 90.00 90.00 90.00
Space group P4/nmm (No. 129, origin choice 2)
Unique sites:
K (0.2500, 0.2500, 0.1402) (multiplicity 2)
Y (0.2500, 0.7500, 0.5000) (multiplicity 2)
Te (0.2500, 0.2500, 0.7326) (multiplicity 2)



# 9
This record from the Alexandria database describes a geometry-optimized LiAcY2Au4 structure. The functional is PBE-GGA.

energy relative to the elements = -0.7460 eV/atom

abc: 5.0304 5.0304 26.6552
angles: 90.00 90.00 120.00
Space group R-3m (No. 166, hexagonal axes)
Unique sites:
Li (0.0000, 0.0000, 0.0000) (multiplicity 3)
Ac (0.0000, 0.0000, 0.5000) (multiplicity 3)
Y (0.0000, 0.0000, 0.2680) (multiplicity 6)
Au (0.0000, 0.0000, 0.1022) (multiplicity 6)
Au (0.0000, 0.0000, 0.3793) (multiplicity 6)



# 10
This record from the Alexandria database describes a geometry-optimized ZrAlCo structure. The functional is PBE-GGA.

energy relative to the elements = -0.4845 eV/atom

abc: 8.1386 5.1937 8.8314
angles: 90.00 90.00 90.00
Space group Amm2 (No. 38)
Unique sites:
Zr (0.1743, 0.0000, 0.0000) (multiplicity 4)
Zr (0.2890, 0.0000, 0.3346) (multiplicity 4)
Al (0.2368, 0.0000, 0.6758) (multiplicity 4)
Al (0.5000, 0.2444, 0.0792) (multiplicity 4)
Co (0.0000, 0.0000, 0.5019) (multiplicity 2)
Co (0.0000, 0.2423, 0.2564) (multiplicity 4)
Co (0.5000, 0.0000, 0.8357) (multiplicity 2)



# 11
This record from the Alexandria database describes a geometry-optimized LaSn3Ir structure. The functional is PBE-GGA.

energy relative to the elements = -0.5756 eV/atom

abc: 6.7805 6.0986 6.2885
angles: 90.00 90.00 90.00
Space group Pmn2_1 (No. 31)
Unique sites:
La (0.0000, 0.1370, 0.0000) (multiplicity 2)
Sn (0.0000, 0.8952, 0.5411) (multiplicity 2)
Sn (0.2411, 0.3338, 0.4358) (multiplicity 4)
Ir (0.0000, 0.6078, 0.2371) (multiplicity 2)



# 12
This record from the Alexandria database describes a geometry-optimized La2PPb structure. The functional is PBE-GGA.

energy relative to the elements = -0.6349 eV/atom
energy above the lowest structure with this stoichiometry = 0.422 eV per atom

abc: 7.7056 7.7056 7.7056
angles: 90.00 90.00 90.00
Space group Fm-3m (No. 225)
Unique sites:
La (0.2500, 0.2500, 0.2500) (multiplicity 8)
P (0.0000, 0.0000, 0.0000) (multiplicity 4)
Pb (0.0000, 0.0000, 0.5000) (multiplicity 4)



# 13
This record from the Alexandria database describes a geometry-optimized Mn2CoPb structure. The functional is PBE-GGA.

energy relative to the elements = 0.3905 eV/atom
energy above the lowest structure with this stoichiometry = 0.075 eV per atom

abc: 3.8821 3.8821 4.0048
angles: 90.00 90.00 90.00
Space group P4/mmm (No. 123)
Unique sites:
Mn (0.0000, 0.5000, 0.0000) (multiplicity 2)
Co (0.0000, 0.0000, 0.5000) (multiplicity 1)
Pb (0.5000, 0.5000, 0.5000) (multiplicity 1)